# ScBiWO6 (PBE with a Hubbard U, relaxed)
# - V (Å³/cell) = 248.2
# - energy (eV/atom) = -7.4967
# - spin magnetization (Bohr magnetons per cell) = 0.000
# - SG = P-31c, No. 163
data_ScBiWO6
_chemical_formula_sum 'Sc2 Bi2 W2 O12'
_cell_length_a 5.385
_cell_length_b 5.385
_cell_length_c 9.885
_cell_angle_alpha 90.00
_cell_angle_beta 90.00
_cell_angle_gamma 120.00
_space_group_name_H-M_alt 'P 1'
_space_group_IT_number 1
loop_
_space_group_symop_operation_xyz
'x,y,z'
loop_
_atom_site_label
_atom_site_fract_x
_atom_site_fract_y
_atom_site_fract_z
_atom_site_occupancy
Sc1 0.333 0.667 0.250 1
Sc2 0.667 0.333 0.750 1
Bi1 0.000 0.000 0.000 1
Bi2 0.000 0.000 0.500 1
W1 0.333 0.667 0.750 1
W2 0.667 0.333 0.250 1
O1 0.022 0.374 0.640 1
O2 0.022 0.648 0.860 1
O3 0.352 0.374 0.860 1
O4 0.352 0.978 0.640 1
O5 0.374 0.022 0.140 1
O6 0.374 0.352 0.360 1
O7 0.626 0.648 0.640 1
O8 0.626 0.978 0.860 1
O9 0.648 0.022 0.360 1
O10 0.648 0.626 0.140 1
O11 0.978 0.352 0.140 1
O12 0.978 0.626 0.360 1